[1]
{"formula": "YTlCdF6", "functional": "PBE", "state": "optimized geometry", "lattice_angstrom": [[6.136, 0.001, 0.000], [3.069, 5.313, 0.000], [0.001, -0.002, 5.600]], "species": ["Y", "Tl", "Cd", "F", "F", "F", "F", "F", "F"], "fractional_positions": [[0.667, 0.667, 0.500], [0.000, 0.000, 0.000], [0.333, 0.333, 0.500], [0.991, 0.383, 0.293], [0.383, 0.991, 0.707], [0.626, 0.383, 0.707], [0.991, 0.626, 0.707], [0.383, 0.626, 0.293], [0.626, 0.991, 0.293]], "magmom_total_mub_per_cell": 0.00, "e_form_raw_ev_per_atom": -2.927, "mass_density_g_cm3": 4.727}

---

[2]
{"formula": "YTl2Cd3F12", "functional": "PBE", "state": "optimized geometry", "lattice_angstrom": [[8.272, 0.319, 0.226], [4.363, 7.035, 0.226], [4.363, 2.540, 6.565]], "species": ["Y", "Tl", "Tl", "Cd", "Cd", "Cd", "F", "F", "F", "F", "F", "F", "F", "F", "F", "F", "F", "F"], "fractional_positions": [[0.000, 0.000, 0.000], [0.580, 0.580, 0.580], [0.420, 0.420, 0.420], [0.500, 0.000, 0.000], [0.000, 0.500, 0.000], [0.000, 0.000, 0.500], [0.357, 0.357, 0.885], [0.936, 0.936, 0.320], [0.320, 0.936, 0.936], [0.885, 0.357, 0.357], [0.936, 0.320, 0.936], [0.357, 0.885, 0.357], [0.643, 0.643, 0.115], [0.064, 0.064, 0.680], [0.680, 0.064, 0.064], [0.115, 0.643, 0.643], [0.064, 0.680, 0.064], [0.643, 0.115, 0.643]], "magmom_total_mub_per_cell": 0.00, "e_form_raw_ev_per_atom": -2.355, "mass_density_g_cm3": 4.848}

---

[3]
{"formula": "Tl2ZnCdF6", "functional": "PBE", "state": "optimized geometry", "lattice_angstrom": [[-3.417, -2.614, -0.829], [1.352, -2.758, 3.124], [-4.695, 4.292, 5.821]], "species": ["Tl", "Tl", "Zn", "Cd", "F", "F", "F", "F", "F", "F"], "fractional_positions": [[0.000, 0.000, 0.734], [0.000, 0.000, 0.266], [0.500, 0.500, 0.500], [0.500, 0.500, 0.000], [0.500, 0.000, 0.000], [0.500, 0.000, 0.500], [0.000, 0.500, 0.000], [0.000, 0.500, 0.500], [0.500, 0.500, 0.730], [0.500, 0.500, 0.270]], "magmom_total_mub_per_cell": 0.00, "e_form_raw_ev_per_atom": -2.073, "mass_density_g_cm3": 7.028}

---

[4]
{"formula": "ZrTlCdF7", "functional": "PBE", "state": "optimized geometry", "lattice_angstrom": [[6.635, 0.009, 0.000], [-3.003, 5.917, 0.000], [0.000, 0.000, 8.644]], "species": ["Zr", "Zr", "Tl", "Tl", "Cd", "Cd", "F", "F", "F", "F", "F", "F", "F", "F", "F", "F", "F", "F", "F", "F"], "fractional_positions": [[0.191, 0.809, 0.750], [0.809, 0.191, 0.250], [0.500, 0.500, 0.500], [0.500, 0.500, 0.000], [0.808, 0.192, 0.750], [0.192, 0.808, 0.250], [0.799, 0.201, 0.486], [0.845, 0.564, 0.750], [0.436, 0.155, 0.750], [0.155, 0.436, 0.250], [0.799, 0.201, 0.014], [0.201, 0.799, 0.514], [0.830, 0.524, 0.250], [0.476, 0.170, 0.250], [0.564, 0.845, 0.250], [0.524, 0.830, 0.750], [0.201, 0.799, 0.986], [0.170, 0.476, 0.750], [0.009, 0.991, 0.750], [0.991, 0.009, 0.250]], "magmom_total_mub_per_cell": 0.00, "e_form_raw_ev_per_atom": -2.914, "mass_density_g_cm3": 5.290}

---

[5]
{"formula": "TmCdF", "functional": "PBE", "state": "optimized geometry", "lattice_angstrom": [[-2.688, -2.033, 0.548], [2.531, 0.138, 2.291], [-6.688, 10.661, 6.747]], "species": ["Cd", "Cd", "F", "F", "Tm", "Tm"], "fractional_positions": [[0.556, 0.112, 0.000], [0.553, 0.106, 0.500], [0.556, 0.112, 0.265], [0.556, 0.112, 0.735], [0.223, 0.446, 0.824], [0.223, 0.446, 0.176]], "magmom_total_mub_per_cell": 0.96, "e_form_raw_ev_per_atom": -1.558, "mass_density_g_cm3": 6.911}

---

[6]
{"formula": "Tm2CdF8", "functional": "PBE", "state": "optimized geometry", "lattice_angstrom": [[-2.124, 2.342, 1.686], [-1.076, -3.726, 3.819], [6.981, 2.701, 1.237]], "species": ["F", "F", "F", "F", "F", "F", "F", "F", "Tm", "Tm", "Cd"], "fractional_positions": [[0.600, 0.458, 0.200], [0.317, 0.036, 0.634], [0.217, 0.331, 0.435], [0.047, 0.813, 0.094], [0.783, 0.669, 0.565], [0.683, 0.964, 0.366], [0.400, 0.542, 0.800], [0.953, 0.187, 0.906], [0.180, 0.690, 0.359], [0.820, 0.310, 0.641], [0.500, 0.000, 0.000]], "magmom_total_mub_per_cell": 0.00, "e_form_raw_ev_per_atom": -3.599, "mass_density_g_cm3": 7.343}

---

[7]
{"formula": "TmCdF5", "functional": "PBE", "state": "optimized geometry", "lattice_angstrom": [[5.557, -0.147, 1.899], [1.095, 5.450, 1.899], [-0.106, -0.084, 7.671]], "species": ["Tm", "Tm", "Cd", "Cd", "F", "F", "F", "F", "F", "F", "F", "F", "F", "F"], "fractional_positions": [[0.543, 0.457, 0.250], [0.457, 0.543, 0.750], [0.000, 0.000, 0.000], [0.000, 0.000, 0.500], [0.776, 0.715, 0.136], [0.321, 0.664, 0.458], [0.715, 0.776, 0.636], [0.849, 0.151, 0.250], [0.336, 0.679, 0.042], [0.664, 0.321, 0.958], [0.151, 0.849, 0.750], [0.285, 0.224, 0.364], [0.679, 0.336, 0.542], [0.224, 0.285, 0.864]], "magmom_total_mub_per_cell": 0.00, "e_form_raw_ev_per_atom": -3.285, "mass_density_g_cm3": 5.309}

---

[8]
{"formula": "TmCdF4", "functional": "PBE", "state": "optimized geometry", "lattice_angstrom": [[6.547, 0.329, 0.000], [-2.342, 6.122, 0.000], [-2.102, -3.226, 5.305]], "species": ["Tm", "Tm", "Cd", "Cd", "F", "F", "F", "F", "F", "F", "F", "F"], "fractional_positions": [[0.749, 0.749, 0.000], [0.499, 0.999, 0.500], [0.272, 0.272, 0.000], [0.022, 0.522, 0.500], [0.291, 0.977, 0.686], [0.699, 0.409, 0.710], [0.727, 0.541, 0.186], [0.159, 0.949, 0.210], [0.354, 0.541, 0.814], [0.738, 0.949, 0.790], [0.699, 0.988, 0.290], [0.291, 0.604, 0.314]], "magmom_total_mub_per_cell": 0.00, "e_form_raw_ev_per_atom": -3.103, "mass_density_g_cm3": 5.476}

---

[9]
{"formula": "U2CdF11", "functional": "PBE", "state": "optimized geometry", "lattice_angstrom": [[7.563, 0.000, 3.942], [3.516, 7.501, 2.481], [0.304, -0.136, 8.641]], "species": ["U", "U", "U", "U", "Cd", "Cd", "F", "F", "F", "F", "F", "F", "F", "F", "F", "F", "F", "F", "F", "F", "F", "F", "F", "F", "F", "F", "F", "F"], "fractional_positions": [[0.652, 0.683, 0.317], [0.348, 0.317, 0.683], [0.848, 0.183, 0.817], [0.152, 0.817, 0.183], [0.750, 0.750, 0.750], [0.250, 0.250, 0.250], [0.637, 0.709, 0.563], [0.363, 0.291, 0.437], [0.092, 0.563, 0.709], [0.863, 0.937, 0.791], [0.908, 0.437, 0.291], [0.137, 0.063, 0.209], [0.408, 0.791, 0.937], [0.592, 0.209, 0.063], [0.500, 0.500, 0.500], [0.000, 0.000, 0.000], [0.869, 0.788, 0.212], [0.131, 0.212, 0.788], [0.631, 0.288, 0.712], [0.369, 0.712, 0.288], [0.452, 0.959, 0.320], [0.548, 0.041, 0.680], [0.270, 0.320, 0.959], [0.048, 0.180, 0.541], [0.730, 0.680, 0.041], [0.952, 0.820, 0.459], [0.230, 0.541, 0.180], [0.770, 0.459, 0.820]], "magmom_total_mub_per_cell": 6.00, "e_form_raw_ev_per_atom": -3.276, "mass_density_g_cm3": 5.496}